# 1
A geometry-optimized Ca2SbBr structure. Source: Alexandria via LeMat-Bulk, functional GGA-PBE.

Computed properties:
VASP energy ... -3.4682 eV/atom
Formation energy (no corrections) ... -1.019 eV per atom

Cell: 4.4123 4.4123 12.4462 Å, 90.00 90.00 90.00°
Element x y z (fractional)
1 Ca 0.0000 0.0000 0.0000
2 Ca 0.0000 0.5000 0.2500
3 Ca 0.5000 0.0000 0.7500
4 Ca 0.5000 0.5000 0.5000
5 Sb 0.0000 0.5000 0.7500
6 Sb 0.5000 0.0000 0.2500
7 Br 0.0000 0.0000 0.5000
8 Br 0.5000 0.5000 0.0000


# 2
A geometry-optimized CaSb4Br structure. Source: Alexandria via LeMat-Bulk, functional GGA-PBE.

Computed properties:
VASP energy ... -3.6188 eV/atom
Formation energy (no corrections) ... -0.258 eV per atom

Cell: 6.3347 6.3347 6.3347 Å, 60.00 60.00 60.00°
Element x y z (fractional)
1 Ca 0.0000 0.0000 0.0000
2 Sb 0.1403 0.6199 0.6199
3 Sb 0.6199 0.1403 0.6199
4 Sb 0.6199 0.6199 0.1403
5 Sb 0.6199 0.6199 0.6199
6 Br 0.2500 0.2500 0.2500